## Cs2Mg2Se2S (PBE)

Data for a relaxed structure of Cs2Mg2Se2S.

Cell: 4.3812 7.3895 8.1766 Å, 68.84 74.46 72.76°
Fractional coordinates of all 7 atoms:
Se (0.1981, 0.3750, 0.2289)
Se (0.8019, 0.6250, 0.7711)
Cs (0.5651, 0.2091, 0.6607)
Cs (0.4349, 0.7909, 0.3393)
Mg (0.1871, 0.6886, 0.9371)
Mg (0.8129, 0.3114, 0.0629)
S (0.0000, 0.0000, 0.0000)

Calculated values
Total magnetization, μB per formula unit: 0.0
Raw formation energy, meV/atom: -1298.7
Space group: C2/m, No. 12

## CaHf2TiFe (PBE)

Data for a relaxed structure of CaHf2TiFe.

Cell: 5.0315 4.2568 5.0315 Å, 90.00 90.00 90.00°
Each line ends with the local moment (μB).
Fractional coordinates of all 5 atoms:
Hf (0.0000, 0.0000, 0.5000)  -0.22
Hf (0.5000, 0.0000, 0.0000)  -0.21
Ca (0.0000, 0.0000, 0.0000)  -0.18
Fe (0.0000, 0.5000, 0.0000)  1.90
Ti (0.5000, 0.5000, 0.5000)  0.20

Calculated values
Energy relative to the lowest polymorph listed for this composition, meV/atom: 0
Total magnetization, μB per formula unit: 1.4
Formation enthalpy at 0 K, eV/atom: 1.813
Space group: P4/mmm, No. 123

## Ho12In3Sn (PBE)

Data for a relaxed structure of Ho12In3Sn.

Cell: 4.8099 4.8099 19.2557 Å, 90.00 90.00 90.00°
Fractional coordinates of all 16 atoms:
Ho (0.5000, 0.0000, 0.1232)
Ho (0.0000, 0.5000, 0.8768)
Ho (0.0000, 0.5000, 0.1232)
Ho (0.0000, 0.5000, 0.3743)
Ho (0.5000, 0.0000, 0.6258)
Ho (0.5000, 0.5000, 0.2485)
Ho (0.0000, 0.5000, 0.6258)
Ho (0.5000, 0.5000, 0.7515)
Ho (0.5000, 0.0000, 0.8768)
Ho (0.5000, 0.5000, 0.0000)
Ho (0.5000, 0.5000, 0.5000)
Ho (0.5000, 0.0000, 0.3743)
In (0.0000, 0.0000, 0.7501)
In (0.0000, 0.0000, 0.2499)
In (0.0000, 0.0000, 0.5000)
Sn (0.0000, 0.0000, 0.0000)

Calculated values
Total magnetization, μB per formula unit: 0.0
Formation enthalpy at 0 K, eV/atom: -0.303
Space group: P4/mmm, No. 123